! CsRbDy PBE-GGA optimized geometry; values from VASP
&SYSTEM
  ibrav = 0, nat = 3, ntyp = 3
/
ATOMIC_SPECIES
Cs 132.91 Cs.upf
Rb 85.47 Rb.upf
Dy 162.50 Dy.upf
CELL_PARAMETERS angstrom
0.000 4.849 4.849
4.849 0.000 4.849
4.849 4.849 0.000
ATOMIC_POSITIONS crystal
Cs 0.000 0.000 0.000
Rb 0.250 0.250 0.250
Dy 0.750 0.750 0.750
! electronic total energy: -3.14 eV/cell
! total moment: 2.79 μB per formula unit
! crystal system: cubic